No. 1
Density functional theory data (PBE) for crystalline YBeNi3 at its relaxed geometry.

Results
- D(E_F): 3.4 states/eV/f.u.
- Distance to the lowest polymorph of the same formula: 1.8510 eV per atom
- Energy of formation: 1.610 eV per atom
- Calculated density: 4.5 g/cm3
- Magnetization: 0.00 μB per formula unit

Cell lengths 4.6441, 4.6441, 4.6441 Å; angles 90.00, 90.00, 90.00 degrees
Space group Pm-3m (No. 221)
One atom of each set of equivalent atoms:
1 Y 0.0000 0.0000 0.0000 [1 per cell]
2 Be 0.5000 0.5000 0.5000 [1 per cell]
3 Ni 0.0000 0.0000 0.5000 [3 per cell]


No. 2
Density functional theory data (PBE) for crystalline GaSi2Hg at its relaxed geometry.

Results
- Energy relative to the elements, uncorrected: 2.0 eV/f.u.
- D(E_F): 3.0 states/eV/f.u.
- Distance to the lowest polymorph of the same formula: 0.0000 eV per atom
- Calculated density: 5.6 g/cm3
- Magnetization: 0.00 μB per formula unit

Cell lengths 6.0778, 6.0778, 10.4550 Å; angles 90.00, 90.00, 90.00 degrees
Space group I-42d (No. 122)
One atom of each set of equivalent atoms:
1 Ga 0.0000 0.0000 0.0000 [4 per cell]
2 Si 0.2260 0.2500 0.1250 [8 per cell]
3 Hg 0.0000 0.0000 0.5000 [4 per cell]


No. 3
Density functional theory data (PBE) for crystalline CaAc2SmAs4 at its relaxed geometry.

Results
- D(E_F): 6.7 states/eV/f.u.
- Energy of formation: -1.311 eV per atom
- Calculated density: 6.5 g/cm3
- Magnetization: 0.00 μB per formula unit

Cell lengths 7.5461, 4.4271, 7.6768 Å; angles 90.00, 109.81, 90.00 degrees
Space group P2/m (No. 10)
One atom of each set of equivalent atoms:
1 Ca 0.0000 0.0000 0.0000 [1 per cell]
2 Ac 0.5000 0.0000 0.5000 [1 per cell]
3 Ac 0.5000 0.5000 0.0000 [1 per cell]
4 Sm 0.0000 0.5000 0.5000 [1 per cell]
5 As 0.2339 0.0000 0.7409 [2 per cell]
6 As 0.2359 0.5000 0.2492 [2 per cell]